This record from Alexandria describes a relaxed NiAs3 crystal. The functional is GGA-PBE. Values from VASP.

total magnetic moment = 0.00 Bohr magnetons per cell
calculated formation energy = 142 meV/atom
energy above the lowest structure with this stoichiometry = 0.53 eV/f.u.

Structure (Quantum ESPRESSO input):
```
&SYSTEM
  ibrav = 0, nat = 4, ntyp = 2
/
ATOMIC_SPECIES
Ni 58.69 Ni.upf
As 74.92 As.upf
CELL_PARAMETERS angstrom
2.7905 0.0000 0.0000
0.0000 2.7905 0.0000
0.0000 0.0000 9.1556
ATOMIC_POSITIONS angstrom
Ni 0.0000 0.0000 0.0000
As 0.0000 0.0000 4.5778
As 1.3952 1.3952 1.6509
As 1.3952 1.3952 7.5047
```



This record from Alexandria describes a relaxed Ni2As crystal. The functional is GGA-PBE. Values from VASP.

total magnetic moment = 0.47 Bohr magnetons per cell
calculated formation energy = 213 meV/atom

Structure (Quantum ESPRESSO input):
```
&SYSTEM
  ibrav = 0, nat = 3, ntyp = 2
/
ATOMIC_SPECIES
Ni 58.69 Ni.upf
As 74.92 As.upf
CELL_PARAMETERS angstrom
4.0420 0.0000 0.0000
-2.0210 3.5005 0.0000
0.0000 0.0000 2.7676
ATOMIC_POSITIONS angstrom
Ni 0.0000 2.3337 0.0000
Ni 2.0210 1.1668 0.0000
As 0.0000 0.0000 1.3838
```



This record from Alexandria describes a relaxed Ni3As crystal. The functional is GGA-PBE. Values from VASP.

total magnetic moment = 0.00 Bohr magnetons per cell
calculated formation energy = -144 meV/atom

Structure (Quantum ESPRESSO input):
```
&SYSTEM
  ibrav = 0, nat = 16, ntyp = 2
/
ATOMIC_SPECIES
Ni 58.69 Ni.upf
As 74.92 As.upf
CELL_PARAMETERS angstrom
6.5206 0.0000 0.0000
0.0000 6.9703 0.0000
0.0000 0.0000 4.3537
ATOMIC_POSITIONS angstrom
Ni 0.1787 1.7426 0.3543
Ni 1.1782 0.4540 2.5361
Ni 1.1782 3.0312 2.5361
Ni 2.0821 3.9392 0.3592
Ni 2.0821 6.5163 0.3592
Ni 3.0816 5.2278 2.5311
Ni 3.4390 1.7426 1.8226
Ni 4.4385 0.4540 3.9944
Ni 4.4385 3.0312 3.9944
Ni 5.3424 3.9392 1.8176
Ni 5.3424 6.5163 1.8176
Ni 6.3419 5.2278 3.9994
As 0.8036 5.2278 1.8738
As 2.4567 1.7426 4.0506
As 4.0639 5.2278 0.3031
As 5.7170 1.7426 2.4799
```



This record from Alexandria describes a relaxed Ni2As crystal. The functional is GGA-PBE. Values from VASP.

total magnetic moment = 0.00 Bohr magnetons per cell
calculated formation energy = -201 meV/atom

Structure (Quantum ESPRESSO input):
```
&SYSTEM
  ibrav = 0, nat = 3, ntyp = 2
/
ATOMIC_SPECIES
Ni 58.69 Ni.upf
As 74.92 As.upf
CELL_PARAMETERS angstrom
-1.6145 1.9384 3.1982
1.6145 -1.9384 3.1982
1.6145 1.9384 -3.1982
ATOMIC_POSITIONS angstrom
Ni 0.0000 0.0000 1.3868
Ni 0.0000 0.0000 5.0095
As 0.0000 1.9384 0.0000
```



This record from Alexandria describes a relaxed NiAs3 crystal. The functional is GGA-PBE. Values from VASP.

total magnetic moment = 0.00 Bohr magnetons per cell
calculated formation energy = 157 meV/atom
energy above the lowest structure with this stoichiometry = 0.58 eV/f.u.

Structure (Quantum ESPRESSO input):
```
&SYSTEM
  ibrav = 0, nat = 4, ntyp = 2
/
ATOMIC_SPECIES
Ni 58.69 Ni.upf
As 74.92 As.upf
CELL_PARAMETERS angstrom
3.6814 0.0000 0.0000
0.0000 3.6874 0.0000
0.0000 0.0000 5.3427
ATOMIC_POSITIONS angstrom
Ni 0.0000 0.0000 0.0000
As 0.0000 1.8437 3.5437
As 1.8407 0.0000 1.8081
As 1.8407 1.8437 0.0061
```



This record from Alexandria describes a relaxed Ni3As crystal. The functional is GGA-PBE. Values from VASP.

total magnetic moment = 0.00 Bohr magnetons per cell
calculated formation energy = -127 meV/atom

Structure (Quantum ESPRESSO input):
```
&SYSTEM
  ibrav = 0, nat = 4, ntyp = 2
/
ATOMIC_SPECIES
Ni 58.69 Ni.upf
As 74.92 As.upf
CELL_PARAMETERS angstrom
-1.6883 1.8835 3.6703
1.6883 -1.8835 3.6703
1.6883 1.8835 -3.6703
ATOMIC_POSITIONS angstrom
Ni 0.0000 0.0000 0.0000
Ni 1.6883 0.0000 1.9498
Ni 0.0000 1.8835 1.7205
As 0.0000 0.0000 3.6703
```



This record from Alexandria describes a relaxed Ni13As2 crystal. The functional is GGA-PBE. Values from VASP.

total magnetic moment = 4.45 Bohr magnetons per cell
calculated formation energy = 242 meV/atom
energy above the lowest structure with this stoichiometry = 4.56 eV/f.u.

Structure (Quantum ESPRESSO input):
```
&SYSTEM
  ibrav = 0, nat = 15, ntyp = 2
/
ATOMIC_SPECIES
Ni 58.69 Ni.upf
As 74.92 As.upf
CELL_PARAMETERS angstrom
3.1590 1.8239 5.8853
-3.1590 1.8239 5.8853
0.0000 -3.6477 5.8853
ATOMIC_POSITIONS angstrom
Ni 0.0000 0.0000 0.0000
Ni 0.0000 -1.4655 4.2213
Ni -1.2691 0.7327 4.2213
Ni 0.0000 -1.3462 6.5743
Ni -1.1659 0.6731 6.5743
Ni -1.1659 -0.6731 11.0816
Ni -1.2691 -0.7327 13.4346
Ni 1.2691 0.7327 4.2213
Ni 1.1659 0.6731 6.5743
Ni 1.1659 -0.6731 11.0816
Ni 0.0000 1.3462 11.0816
Ni 1.2692 -0.7327 13.4346
Ni 0.0000 1.4655 13.4346
As 0.0000 0.0000 2.3938
As 0.0000 0.0000 15.2621
```



This record from Alexandria describes a relaxed Ni6As crystal. The functional is GGA-PBE. Values from VASP.

total magnetic moment = 5.33 Bohr magnetons per cell
calculated formation energy = 1063 meV/atom

Structure (Quantum ESPRESSO input):
```
&SYSTEM
  ibrav = 0, nat = 7, ntyp = 2
/
ATOMIC_SPECIES
Ni 58.69 Ni.upf
As 74.92 As.upf
CELL_PARAMETERS angstrom
-3.0907 3.0907 3.0907
3.0907 -3.0907 3.0907
3.0907 3.0907 -3.0907
ATOMIC_POSITIONS angstrom
Ni 3.0907 1.5453 0.0000
Ni 3.0907 0.0000 1.5453
Ni 1.5453 3.0907 0.0000
Ni 1.5453 0.0000 3.0907
Ni 0.0000 3.0907 1.5453
Ni 0.0000 1.5453 3.0907
As 0.0000 0.0000 0.0000
```



This record from Alexandria describes a relaxed NiAs3 crystal. The functional is GGA-PBE. Values from VASP.

total magnetic moment = 0.00 Bohr magnetons per cell
calculated formation energy = 285 meV/atom
energy above the lowest structure with this stoichiometry = 1.10 eV/f.u.

Structure (Quantum ESPRESSO input):
```
&SYSTEM
  ibrav = 0, nat = 8, ntyp = 2
/
ATOMIC_SPECIES
Ni 58.69 Ni.upf
As 74.92 As.upf
CELL_PARAMETERS angstrom
-1.9898 1.9898 9.1814
1.9898 -1.9898 9.1814
1.9898 1.9898 -9.1814
ATOMIC_POSITIONS angstrom
Ni 0.0000 0.0000 3.1890
Ni 0.0000 0.0000 15.1739
As 1.9898 0.0000 0.0000
As 1.9898 0.0000 4.5907
As 0.0000 0.0000 7.1318
As 0.0000 1.9898 0.0000
As 0.0000 0.0000 11.2311
As 0.0000 1.9898 4.5907
```



This record from Alexandria describes a relaxed Ni2As crystal. The functional is GGA-PBE. Values from VASP.

total magnetic moment = 0.00 Bohr magnetons per cell
calculated formation energy = -81 meV/atom

Structure (Quantum ESPRESSO input):
```
&SYSTEM
  ibrav = 0, nat = 6, ntyp = 2
/
ATOMIC_SPECIES
Ni 58.69 Ni.upf
As 74.92 As.upf
CELL_PARAMETERS angstrom
1.7172 -7.3772 0.0000
1.7172 7.3772 0.0000
0.0000 0.0000 3.6104
ATOMIC_POSITIONS angstrom
Ni 1.7172 6.5147 2.7078
Ni 1.7172 0.9441 2.7078
Ni 1.7172 -0.9441 0.9026
Ni 1.7172 -6.5147 0.9026
As 1.7172 2.4417 0.9026
As 1.7172 -2.4417 2.7078
```



This record from Alexandria describes a relaxed NiAs3 crystal. The functional is GGA-PBE. Values from VASP.

total magnetic moment = 0.00 Bohr magnetons per cell
calculated formation energy = 388 meV/atom
energy above the lowest structure with this stoichiometry = 1.51 eV/f.u.

Structure (Quantum ESPRESSO input):
```
&SYSTEM
  ibrav = 0, nat = 4, ntyp = 2
/
ATOMIC_SPECIES
Ni 58.69 Ni.upf
As 74.92 As.upf
CELL_PARAMETERS angstrom
-2.1967 2.1967 3.4459
2.1967 -2.1967 3.4459
2.1967 2.1967 -3.4459
ATOMIC_POSITIONS angstrom
Ni 0.0000 0.0000 0.0000
As 2.1967 0.0000 1.7229
As 0.0000 0.0000 3.4459
As 0.0000 2.1967 1.7229
```



This record from Alexandria describes a relaxed Ni2As crystal. The functional is GGA-PBE. Values from VASP.

total magnetic moment = 1.44 Bohr magnetons per cell
calculated formation energy = 186 meV/atom

Structure (Quantum ESPRESSO input):
```
&SYSTEM
  ibrav = 0, nat = 6, ntyp = 2
/
ATOMIC_SPECIES
Ni 58.69 Ni.upf
As 74.92 As.upf
CELL_PARAMETERS angstrom
0.0000 3.3980 3.3980
3.3980 0.0000 3.3980
3.3980 3.3980 0.0000
ATOMIC_POSITIONS angstrom
Ni 0.0000 0.0000 0.0000
Ni 1.6990 1.6990 0.0000
Ni 1.6990 0.0000 1.6990
Ni 0.0000 1.6990 1.6990
As 2.5485 2.5485 2.5485
As 4.2474 4.2474 4.2474
```